No. 1
First-principles (PBEsol) data for a geometry-optimized BeZnAg2 structure, as listed in Alexandria.

Summary:
energy above the lowest structure with this stoichiometry: 0.0 meV/atom
E_form: 4 kJ/mol of atoms
space group: Cm
crystal system: monoclinic

abc: 2.892 4.365 4.890
angles: 110.17 107.20 90.00
Element x y z (fractional)
Ag (0.776, 0.298, 0.551)
Ag (0.993, 0.973, 0.985)
Zn (0.225, 0.753, 0.450)
Be (0.507, 0.475, 0.014)

***

No. 2
First-principles (PBEsol) data for a geometry-optimized SiPPb2 structure, as listed in Alexandria.

Summary:
formation energy (no corrections): 0.184 eV/atom
energy above the lowest structure with this stoichiometry: 0.0 meV/atom
space group: Pm
crystal system: monoclinic

abc: 3.425 3.860 7.333
angles: 105.25 90.00 90.00
Element x y z (fractional)
P (0.500, 0.305, 0.733)
Pb (0.500, 0.584, 0.295)
Pb (0.000, 0.915, 0.954)
Si (0.000, 0.196, 0.518)

***

No. 3
First-principles (PBEsol) data for a geometry-optimized MoRu3 structure, as listed in Alexandria.

Summary:
energy above the lowest structure with this stoichiometry: 63.1 meV/atom
E_form: 1 kJ/mol of atoms
space group: Pm-3m
crystal system: cubic

abc: 3.806 3.806 3.806
angles: 90.00 90.00 90.00
Element x y z (fractional)
Ru (0.000, 0.500, 0.500)
Ru (0.500, 0.500, 0.000)
Ru (0.500, 0.000, 0.500)
Mo (0.000, 0.000, 0.000)

***

No. 4
First-principles (PBEsol) data for a geometry-optimized ZrIn2W structure, as listed in Alexandria.

Summary:
energy above the lowest structure with this stoichiometry: 0.0 meV/atom
E_form: 15 kJ/mol of atoms
space group: P2/m
crystal system: monoclinic

abc: 2.919 4.618 5.858
angles: 90.00 101.80 90.00
Element x y z (fractional)
In (0.943, 0.000, 0.241)
In (0.057, 0.000, 0.759)
Zr (0.500, 0.500, 0.500)
W (0.500, 0.500, 0.000)

***

No. 5
First-principles (PBEsol) data for a geometry-optimized SrCdRe3 structure, as listed in Alexandria.

Summary:
E_form: 354 kJ/mol of atoms
space group: Pm-3m
crystal system: cubic

abc: 4.767 4.767 4.767
angles: 90.00 90.00 90.00
Last column: magnetic moment on the atom in μB.
Element x y z (fractional)
Cd (0.500, 0.500, 0.500)  -0.01
Re (0.000, 0.000, 0.500)  0.67
Re (0.000, 0.500, 0.000)  0.67
Re (0.500, 0.000, 0.000)  0.67
Sr (0.000, 0.000, 0.000)  0.00

***

No. 6
First-principles (PBEsol) data for a geometry-optimized SrZn3Co structure, as listed in Alexandria.

Summary:
E_form: -8 kJ/mol of atoms
space group: Pm-3m
crystal system: cubic

abc: 4.593 4.593 4.593
angles: 90.00 90.00 90.00
Element x y z (fractional)
Zn (0.000, 0.500, 0.000)
Zn (0.000, 0.000, 0.500)
Zn (0.500, 0.000, 0.000)
Co (0.000, 0.000, 0.000)
Sr (0.500, 0.500, 0.500)

***

No. 7
First-principles (PBEsol) data for a geometry-optimized Cd2SnBi2 structure, as listed in Alexandria.

Summary:
energy above the lowest structure with this stoichiometry: 4.2 meV/atom
E_form: 11 kJ/mol of atoms
space group: I4/mmm
crystal system: tetragonal

abc: 4.131 4.131 8.641
angles: 103.83 103.83 90.00
Element x y z (fractional)
Cd (0.750, 0.250, 0.500)
Cd (0.250, 0.750, 0.500)
Sn (0.000, 0.000, 0.000)
Bi (0.397, 0.397, 0.794)
Bi (0.603, 0.603, 0.206)

***

No. 8
First-principles (PBEsol) data for a geometry-optimized Sr2LaBeO5 structure, as listed in Alexandria.

Summary:
formation energy (no corrections): -2.812 eV/atom
space group: Pnma
crystal system: orthorhombic

abc: 6.589 7.451 9.555
angles: 90.00 90.00 90.00
Last column: magnetic moment on the atom in μB.
Element x y z (fractional)
La (0.903, 0.250, 0.970)  0.00
La (0.097, 0.750, 0.030)  0.00
La (0.403, 0.750, 0.530)  0.00
La (0.597, 0.250, 0.470)  0.00
Sr (0.914, 0.525, 0.673)  0.00
Sr (0.414, 0.475, 0.827)  0.00
Sr (0.586, 0.975, 0.173)  0.00
Sr (0.086, 0.025, 0.327)  0.00
Sr (0.586, 0.525, 0.173)  0.00
Sr (0.914, 0.975, 0.673)  0.00
Sr (0.414, 0.025, 0.827)  0.00
Sr (0.086, 0.475, 0.327)  0.00
O (0.690, 0.565, 0.437)  0.10
O (0.371, 0.250, 0.269)  0.11
O (0.690, 0.935, 0.437)  0.10
O (0.030, 0.750, 0.487)  0.22
O (0.810, 0.935, 0.937)  0.10
O (0.629, 0.750, 0.731)  0.11
O (0.674, 0.250, 0.727)  0.30
O (0.826, 0.250, 0.227)  0.30
O (0.970, 0.250, 0.513)  0.22
O (0.190, 0.435, 0.063)  0.10
O (0.470, 0.750, 0.987)  0.22
O (0.326, 0.750, 0.273)  0.30
O (0.530, 0.250, 0.013)  0.22
O (0.310, 0.065, 0.563)  0.10
O (0.174, 0.750, 0.773)  0.30
O (0.190, 0.065, 0.063)  0.10
O (0.129, 0.250, 0.769)  0.11
O (0.310, 0.435, 0.563)  0.10
O (0.810, 0.565, 0.937)  0.10
O (0.871, 0.750, 0.231)  0.11
Be (0.812, 0.750, 0.399)  0.00
Be (0.688, 0.750, 0.899)  0.00
Be (0.312, 0.250, 0.101)  0.00
Be (0.188, 0.250, 0.601)  0.00

***

No. 9
First-principles (PBEsol) data for a geometry-optimized ReHg3Cl structure, as listed in Alexandria.

Summary:
formation energy (no corrections): 1.728 eV/atom
space group: Pm-3m
crystal system: cubic

abc: 5.304 5.304 5.304
angles: 90.00 90.00 90.00
Last column: magnetic moment on the atom in μB.
Element x y z (fractional)
Hg (0.500, 0.000, 0.000)  0.02
Hg (0.000, 0.500, 0.000)  0.02
Hg (0.000, 0.000, 0.500)  0.02
Cl (0.000, 0.000, 0.000)  -0.06
Re (0.500, 0.500, 0.500)  3.89

***

No. 10
First-principles (PBEsol) data for a geometry-optimized K2NiPb structure, as listed in Alexandria.

Summary:
E_form: 49 kJ/mol of atoms
space group: I4/mmm
crystal system: tetragonal

abc: 4.374 4.374 6.342
angles: 110.17 110.17 90.00
Last column: magnetic moment on the atom in μB.
Element x y z (fractional)
K (0.750, 0.250, 0.500)  0.01
K (0.250, 0.750, 0.500)  0.01
Ni (0.500, 0.500, 0.000)  0.33
Pb (0.000, 0.000, 0.000)  0.07

***

No. 11
First-principles (PBEsol) data for a geometry-optimized CoAs2Pt structure, as listed in Alexandria.

Summary:
energy above the lowest structure with this stoichiometry: 82.4 meV/atom
E_form: 8 kJ/mol of atoms
space group: P4/mmm
crystal system: tetragonal

abc: 3.302 4.218 4.221
angles: 90.00 90.00 90.00
Last column: magnetic moment on the atom in μB.
Element x y z (fractional)
As (0.000, 0.000, 0.000)  0.00
As (0.000, 0.500, 0.500)  0.00
Co (0.500, 0.500, 0.000)  1.13
Pt (0.500, 0.000, 0.500)  0.07

***

No. 12
First-principles (PBEsol) data for a geometry-optimized CaSc4Re structure, as listed in Alexandria.

Summary:
E_form: 65 kJ/mol of atoms
space group: F-43m
crystal system: cubic

abc: 5.717 5.717 5.717
angles: 60.00 60.00 60.00
Element x y z (fractional)
Ca (0.750, 0.750, 0.750)
Re (0.000, 0.000, 0.000)
Sc (0.371, 0.371, 0.371)
Sc (0.371, 0.888, 0.371)
Sc (0.888, 0.371, 0.371)
Sc (0.371, 0.371, 0.888)